Compound: FeSi2Se
Source: the Alexandria database
Functional: PBE-GGA
Structure: optimized geometry

## Properties
energy = -5.624 eV per atom
DOS at the Fermi energy = 4.882 states/eV per cell
formation energy (no corrections) = 74 meV/atom

Cell lengths 7.340, 3.376, 5.520 Å; angles 90.00, 106.17, 90.00 degrees
Space group C2/m (No. 12)
One atom of each set of equivalent atoms:
Fe (0.000, 0.000, 0.000) x2
Si (0.168, 0.500, 0.847) x4
Se (0.000, 0.000, 0.500) x2